Record 1
The following is a DFT calculation (PBE) of an optimized crystal structure of Tb6Pm3Dy2.

```
Tb6Pm3Dy2
1.0
2.8602 -6.0640 0.0000
2.8602 6.0640 0.0000
0.0000 0.0000 10.4987
Tb Pm Dy
6 3 2
Direct
0.0000 0.0000 0.2105 Tb
0.0000 0.0000 0.7895 Tb
0.3492 0.6508 0.3020 Tb
0.3492 0.6508 0.6980 Tb
0.6508 0.3492 0.3020 Tb
0.6508 0.3492 0.6980 Tb
0.2058 0.7942 0.0000 Pm
0.5000 0.5000 0.0000 Pm
0.7942 0.2058 0.0000 Pm
0.1331 0.8669 0.5000 Dy
0.8669 0.1331 0.5000 Dy
```

Calculated values
Formation energy from the elements   162 kJ/mol of formula units
Final energy   -4.505 eV/atom
Excess energy over the best structure of this formula in the dataset   0 meV per atom
Total magnetization   0.0 μB per formula unit

---

Record 2
The following is a DFT calculation (PBE) of an optimized crystal structure of Ac3Y3AgTe8.

```
Ac3Y3AgTe8
1.0
4.5068 2.6020 7.4480
-4.5068 2.6020 7.4480
0.0000 -5.2041 7.4480
Ac Y Ag Te
3 3 1 8
Direct
0.0000 0.5000 0.5000 Ac
0.5000 0.0000 0.5000 Ac
0.5000 0.5000 0.0000 Ac
0.0000 0.0000 0.5000 Y
0.0000 0.5000 0.0000 Y
0.5000 0.0000 0.0000 Y
0.5000 0.5000 0.5000 Ag
0.2357 0.7480 0.7480 Te
0.2417 0.2417 0.2417 Te
0.2520 0.2520 0.7643 Te
0.2520 0.7643 0.2520 Te
0.7480 0.2357 0.7480 Te
0.7480 0.7480 0.2357 Te
0.7583 0.7583 0.7583 Te
0.7643 0.2520 0.2520 Te
```

Calculated values
E_form (uncorrected)   -1283 meV per atom
Final energy   -5.263 eV/atom
Total magnetization   0.0 μB per formula unit

---

Record 3
The following is a DFT calculation (PBE) of an optimized crystal structure of LaCeAg4.

```
LaCeAg4
1.0
3.4235 -8.5009 0.0000
3.4235 8.5009 0.0000
0.0000 0.0000 4.9039
La Ce Ag
2 2 8
Direct
0.1200 0.8800 0.7500 La
0.8800 0.1200 0.2500 La
0.3699 0.6301 0.2500 Ce
0.6301 0.3699 0.7500 Ce
0.0471 0.4637 0.7500 Ag
0.2323 0.3158 0.7500 Ag
0.3158 0.2323 0.2500 Ag
0.4637 0.0471 0.2500 Ag
0.5363 0.9529 0.7500 Ag
0.6842 0.7677 0.7500 Ag
0.7677 0.6842 0.2500 Ag
0.9529 0.5363 0.2500 Ag
```

Calculated values
Formation energy from the elements   -123 kJ/mol of formula units
Final energy   -3.924 eV/atom
Excess energy over the best structure of this formula in the dataset   0 meV per atom
Total magnetization   1.5 μB per formula unit

---

Copy entry 1 word for word.
The following is a DFT calculation (PBE) of an optimized crystal structure of Tb6Pm3Dy2.

```
Tb6Pm3Dy2
1.0
2.8602 -6.0640 0.0000
2.8602 6.0640 0.0000
0.0000 0.0000 10.4987
Tb Pm Dy
6 3 2
Direct
0.0000 0.0000 0.2105 Tb
0.0000 0.0000 0.7895 Tb
0.3492 0.6508 0.3020 Tb
0.3492 0.6508 0.6980 Tb
0.6508 0.3492 0.3020 Tb
0.6508 0.3492 0.6980 Tb
0.2058 0.7942 0.0000 Pm
0.5000 0.5000 0.0000 Pm
0.7942 0.2058 0.0000 Pm
0.1331 0.8669 0.5000 Dy
0.8669 0.1331 0.5000 Dy
```

Calculated values
Formation energy from the elements   162 kJ/mol of formula units
Final energy   -4.505 eV/atom
Excess energy over the best structure of this formula in the dataset   0 meV per atom
Total magnetization   0.0 μB per formula unit

---

Which of these has the lowest final energy? Ac3Y3AgTe8